(1)
The following is a PBE calculation of a relaxed structure of Lu2AlGe, from Alexandria.

The structure in POSCAR format:
```
Lu2AlGe
1.0
1.9792 1.1427 9.1744
-1.9792 1.1427 9.1744
0.0000 -2.2854 9.1744
Lu Al Ge
2 1 1
Direct
0.1105 0.1105 0.1105
0.8895 0.8895 0.8895
0.0000 0.0000 0.0000
0.5000 0.5000 0.5000
```

Values from the calculation:
Final energy (eV/atom): -4.249
Crystal system: trigonal
Calculated formation energy (eV per formula unit): 0.404

(2)
The following is a PBE calculation of a relaxed structure of LuAl2Ge2, from Alexandria.

The structure in POSCAR format:
```
LuAl2Ge2
1.0
4.2741 0.0000 0.0000
-2.1371 3.7015 0.0000
0.0000 0.0000 6.4585
Lu Al Ge
1 2 2
Direct
0.0000 0.0000 0.0000
0.3333 0.6667 0.6496
0.6667 0.3333 0.3504
0.3333 0.6667 0.2506
0.6667 0.3333 0.7494
```

Values from the calculation:
Final energy (eV/atom): -4.605
Crystal system: trigonal
Calculated formation energy (eV per formula unit): -1.785

Question: What is the formula in the second record?
Answer: LuAl2Ge2

Question: Among the records above, which one has the lowest final energy?
Answer: LuAl2Ge2